Nb2FeHg after structural relaxation, computed with PBE.

Calculated values
- Electronic total energy: -6.389 eV per atom
- Fermi-level density of states: 6.4 states/eV/f.u.

a = 10.114 Å, b = 10.114 Å, c = 10.114 Å
α = 157.97°, β = 157.97°, γ = 31.35°
Fractional coordinates of all 8 atoms:
1 Nb 0.112 0.625 0.987
2 Nb 0.375 0.362 0.487
3 Nb 0.638 0.125 0.013
4 Nb 0.875 0.888 0.513
5 Fe 0.000 0.000 0.000
6 Fe 0.750 0.250 0.500
7 Hg 0.250 0.750 0.500
8 Hg 0.500 0.500 0.000